No. 1
An optimized crystal structure of PaBeTcOs. Source: the Alexandria database, functional GGA-PBE.

POSCAR file:
```
PaBeTcOs
1.0
0.000 3.195 3.195
3.195 0.000 3.195
3.195 3.195 0.000
Pa Be Tc Os
1 1 1 1
Direct
0.000 0.000 0.000
0.500 0.500 0.500
0.750 0.750 0.750
0.250 0.250 0.250
```

* formation energy: 0.00 eV per atom
* final energy: -8.70 eV per atom

No. 2
An optimized crystal structure of BeOs2Pb. Source: the Alexandria database, functional GGA-PBE.

POSCAR file:
```
BeOs2Pb
1.0
2.979 0.000 0.000
0.000 4.203 0.000
-0.038 0.000 5.278
Be Os Pb
1 2 1
Direct
0.000 0.000 0.000
0.004 0.500 0.177
0.505 0.000 0.341
0.500 0.500 0.708
```

* E above lowest polymorph: 0.2185 eV per atom
* formation energy: 0.65 eV per atom
* final energy: -6.83 eV per atom

No. 3
An optimized crystal structure of BeOsPb2. Source: the Alexandria database, functional GGA-PBE.

POSCAR file:
```
BeOsPb2
1.0
3.163 0.000 0.000
0.000 3.163 0.000
0.000 0.000 8.574
Be Os Pb
1 1 2
Direct
0.000 0.000 0.000
0.500 0.500 0.083
0.000 0.000 0.323
0.500 0.500 0.741
```

* formation energy: 0.32 eV per atom
* final energy: -5.27 eV per atom

No. 4
An optimized crystal structure of BeOsPb2. Source: the Alexandria database, functional GGA-PBE.

POSCAR file:
```
BeOsPb2
1.0
3.374 0.000 0.000
0.000 3.397 0.000
-1.360 0.000 6.918
Be Os Pb
1 1 2
Direct
0.000 0.000 0.000
0.000 0.000 0.500
0.427 0.500 0.255
0.573 0.500 0.745
```

* formation energy: 0.93 eV per atom
* final energy: -4.66 eV per atom

No. 5
An optimized crystal structure of BeOs2Pb. Source: the Alexandria database, functional GGA-PBE.

POSCAR file:
```
BeOs2Pb
1.0
2.911 0.000 0.000
0.000 2.911 0.000
0.000 0.000 8.778
Be Os Pb
1 2 1
Direct
0.000 0.000 0.000
0.000 0.000 0.329
0.500 0.500 0.139
0.500 0.500 0.588
```

* E above lowest polymorph: 0.0000 eV per atom
* formation energy: 0.43 eV per atom
* final energy: -7.05 eV per atom

No. 6
An optimized crystal structure of BeOs2Pb. Source: the Alexandria database, functional GGA-PBE.

POSCAR file:
```
BeOs2Pb
1.0
0.000 3.155 3.155
3.155 0.000 3.155
3.155 3.155 0.000
Be Os Pb
1 2 1
Direct
0.000 0.000 0.000
0.500 0.500 0.500
0.750 0.750 0.750
0.250 0.250 0.250
```

* E above lowest polymorph: 0.5538 eV per atom
* formation energy: 0.98 eV per atom
* final energy: -6.49 eV per atom